No. 1
{
  "formula": "Mn2CrCo",
  "functional": "PBE-GGA",
  "state": "optimized geometry",
  "cell": [[-7.680, 0.244, 3.359], [-7.894, -1.887, 2.109], [-6.900, -1.877, 4.381]],
  "species": ["Cr", "Co", "Mn", "Mn"],
  "frac_coords": [[0.750, 0.750, 0.750], [0.250, 0.250, 0.250], [0.998, 0.998, 0.998], [0.502, 0.502, 0.502]],
  "e_form_ev_per_atom": 0.17,
  "crystal_system": "trigonal",
  "density_g_cm3": 8.330
}

No. 2
{
  "formula": "Mn6CrCo5",
  "functional": "PBE-GGA",
  "state": "optimized geometry",
  "cell": [[3.845, -0.023, 1.281], [0.031, 5.730, 0.010], [0.000, -0.011, 6.408]],
  "species": ["Co", "Co", "Co", "Co", "Co", "Mn", "Mn", "Mn", "Mn", "Mn", "Mn", "Cr"],
  "frac_coords": [[0.665, 0.500, 0.669], [0.335, 0.500, 0.331], [0.000, 0.500, 0.000], [0.333, 0.000, 0.333], [0.667, 0.000, 0.667], [0.500, 0.251, 0.000], [0.500, 0.749, 0.000], [0.832, 0.749, 0.335], [0.168, 0.251, 0.665], [0.832, 0.251, 0.335], [0.168, 0.749, 0.665], [0.000, 0.000, 0.000]],
  "e_form_ev_per_atom": -0.02,
  "crystal_system": "orthorhombic",
  "density_g_cm3": 7.955
}

No. 3
{
  "formula": "MnCr2Co",
  "functional": "PBE-GGA",
  "state": "optimized geometry",
  "cell": [[4.690, 0.005, 0.000], [2.159, 4.164, 0.000], [-3.053, -2.696, 2.327]],
  "species": ["Mn", "Co", "Cr", "Cr"],
  "frac_coords": [[0.250, 0.750, 0.500], [0.750, 0.250, 0.500], [0.494, 0.494, 0.000], [0.006, 0.006, 0.000]],
  "e_form_ev_per_atom": 0.10,
  "crystal_system": "orthorhombic",
  "density_g_cm3": 7.965
}

No. 4
{
  "formula": "MnCr2Co",
  "functional": "PBE-GGA",
  "state": "optimized geometry",
  "cell": [[2.463, 0.000, 0.000], [0.000, 2.463, 0.000], [0.000, 0.000, 7.410]],
  "species": ["Co", "Cr", "Cr", "Mn"],
  "frac_coords": [[0.500, 0.500, 0.750], [0.000, 0.000, 0.510], [0.000, 0.000, 0.990], [0.500, 0.500, 0.250]],
  "e_form_ev_per_atom": 0.11,
  "crystal_system": "tetragonal",
  "density_g_cm3": 8.050
}

No. 5
{
  "formula": "MnCr3Co",
  "functional": "PBE-GGA",
  "state": "optimized geometry",
  "cell": [[4.139, 0.000, 0.000], [0.000, 4.139, 0.000], [0.000, 0.000, 4.139]],
  "species": ["Cr", "Cr", "Cr", "Mn", "Co"],
  "frac_coords": [[0.000, 0.500, 0.000], [0.000, 0.000, 0.500], [0.500, 0.000, 0.000], [0.000, 0.000, 0.000], [0.500, 0.500, 0.500]],
  "polymorph_energy_ev_per_fu": 0.00,
  "e_form_ev_per_atom": 1.27,
  "crystal_system": "cubic",
  "density_g_cm3": 6.319
}

No. 6
{
  "formula": "MnCr2Co",
  "functional": "PBE-GGA",
  "state": "optimized geometry",
  "cell": [[-4.028, -1.150, 4.777], [4.224, -3.966, 2.607], [1.052, -0.723, 4.938]],
  "species": ["Mn", "Mn", "Cr", "Cr", "Cr", "Cr", "Co", "Co"],
  "frac_coords": [[0.250, 0.750, 0.500], [0.500, 0.500, 0.000], [0.115, 0.625, 0.250], [0.875, 0.885, 0.750], [0.635, 0.125, 0.250], [0.375, 0.365, 0.750], [0.000, 0.000, 0.000], [0.750, 0.250, 0.500]],
  "e_form_ev_per_atom": 0.62,
  "crystal_system": "tetragonal",
  "density_g_cm3": 7.424
}

No. 7
{
  "formula": "Mn2CrCo2",
  "functional": "PBE-GGA",
  "state": "optimized geometry",
  "cell": [[6.748, 0.000, 0.000], [0.000, 6.748, 0.000], [0.000, 0.000, 2.436]],
  "species": ["Mn", "Mn", "Mn", "Mn", "Cr", "Cr", "Co", "Co", "Co", "Co"],
  "frac_coords": [[0.378, 0.878, 0.000], [0.878, 0.622, 0.000], [0.122, 0.378, 0.000], [0.622, 0.122, 0.000], [0.500, 0.500, 0.000], [0.000, 0.000, 0.000], [0.173, 0.673, 0.500], [0.827, 0.327, 0.500], [0.673, 0.827, 0.500], [0.327, 0.173, 0.500]],
  "polymorph_energy_ev_per_fu": 0.11,
  "e_form_ev_per_atom": 0.25,
  "crystal_system": "tetragonal",
  "density_g_cm3": 8.375
}

No. 8
{
  "formula": "MnCr2Co",
  "functional": "PBE-GGA",
  "state": "optimized geometry",
  "cell": [[2.467, 0.000, 0.000], [0.000, 3.561, 0.000], [0.000, 0.000, 5.107]],
  "species": ["Cr", "Cr", "Co", "Mn"],
  "frac_coords": [[0.500, 0.500, 0.257], [0.000, 0.000, 0.988], [0.500, 0.500, 0.751], [0.000, 0.000, 0.504]],
  "e_form_ev_per_atom": 0.17,
  "crystal_system": "orthorhombic",
  "density_g_cm3": 8.063
}

No. 9
{
  "formula": "MnCr2Co",
  "functional": "PBE-GGA",
  "state": "optimized geometry",
  "cell": [[8.561, 0.022, 0.013], [8.193, 2.482, 0.013], [8.193, 1.225, 2.159]],
  "species": ["Cr", "Cr", "Co", "Mn"],
  "frac_coords": [[0.003, 0.003, 0.003], [0.248, 0.248, 0.248], [0.750, 0.750, 0.750], [0.499, 0.499, 0.499]],
  "e_form_ev_per_atom": 0.20,
  "crystal_system": "trigonal",
  "density_g_cm3": 8.002
}

No. 10
{
  "formula": "MnCr2Co",
  "functional": "PBE-GGA",
  "state": "optimized geometry",
  "cell": [[3.945, 0.000, 0.000], [0.000, 2.456, -0.008], [0.000, 1.102, 4.661]],
  "species": ["Mn", "Co", "Cr", "Cr"],
  "frac_coords": [[0.500, 0.250, 0.250], [0.500, 0.750, 0.750], [0.000, 0.486, 0.498], [0.000, 0.014, 0.002]],
  "e_form_ev_per_atom": 0.12,
  "crystal_system": "monoclinic",
  "density_g_cm3": 8.003
}

No. 11
{
  "formula": "Mn2CrCo",
  "functional": "PBE-GGA",
  "state": "optimized geometry",
  "cell": [[-0.324, 1.595, 1.929], [-1.140, -2.625, 1.980], [4.748, -0.899, 1.542]],
  "species": ["Co", "Cr", "Mn", "Mn"],
  "frac_coords": [[0.000, 0.000, 0.504], [0.500, 0.500, 0.741], [0.500, 0.500, 0.248], [0.000, 0.000, 0.007]],
  "e_form_ev_per_atom": 0.08,
  "crystal_system": "orthorhombic",
  "density_g_cm3": 8.230
}

No. 12
{
  "formula": "MnCr2Co",
  "functional": "PBE-GGA",
  "state": "optimized geometry",
  "cell": [[2.434, 0.000, 0.000], [0.000, 2.434, 0.000], [0.000, 0.000, 7.553]],
  "species": ["Cr", "Cr", "Mn", "Co"],
  "frac_coords": [[0.500, 0.500, 0.256], [0.000, 0.000, 0.985], [0.000, 0.000, 0.514], [0.500, 0.500, 0.745]],
  "e_form_ev_per_atom": 0.14,
  "crystal_system": "tetragonal",
  "density_g_cm3": 8.084
}